VASP calculation (GGA-PBE) on a relaxed structure of HfCrCdSb2.

## Properties
The formation energy (no corrections) comes out at 6.63 eV/f.u. For the uncorrected energy, the calculation gives -22.1 eV/f.u. As for the crystal system: tetragonal. The mass density is 6.3 g cm⁻³.

extended XYZ file:
```
5
Lattice="-2.979 4.351 -1.098 -4.359 -2.534 1.784 0.931 1.888 4.957" Properties=species:S:1:pos:R:3 pbc="T T T"
Sb 0.466 0.944 2.479
Sb -1.489 2.175 -0.549
Hf -2.179 -1.267 0.892
Cr -3.203 1.853 2.822
Cd 0.000 0.000 0.000
```



VASP calculation (GGA-PBE) on a relaxed structure of ScBiS2.

## Properties
The formation energy (no corrections) comes out at -1.48 eV/f.u. For the uncorrected energy, the calculation gives -19.9 eV/f.u. As for the crystal system: trigonal. The mass density is 4.6 g cm⁻³.

extended XYZ file:
```
4
Lattice="2.312 0.000 8.193 -1.156 2.002 8.193 -1.156 -2.002 8.193" Properties=species:S:1:pos:R:3 pbc="T T T"
Sc 0.000 0.000 0.000
S 0.000 0.000 22.084
S 0.000 0.000 2.495
Bi 0.000 0.000 12.290
```



VASP calculation (GGA-PBE) on a relaxed structure of La4OsPdBr2.

## Properties
The formation energy (no corrections) comes out at -8.13 eV/f.u. For the uncorrected energy, the calculation gives -47.6 eV/f.u. As for the crystal system: monoclinic. The mass density is 6.8 g cm⁻³.

extended XYZ file:
```
8
Lattice="4.235 0.000 0.000 0.000 7.308 0.133 0.000 -2.560 7.885" Properties=species:S:1:pos:R:3 pbc="T T T"
La 2.118 1.301 1.588
La 2.118 3.447 6.430
La 0.000 -0.008 6.349
La 0.000 4.756 1.669
Os 2.118 3.654 0.066
Pd 0.000 0.000 0.000
Br 2.118 -1.280 3.943
Br 0.000 2.374 4.009
```



VASP calculation (GGA-PBE) on a relaxed structure of MnHg2Rh.

## Properties
For the uncorrected energy, the calculation gives -16.4 eV/f.u. As for the crystal system: cubic. As for the offset from the most stable computed form: 0.097 eV per atom. The mass density is 13.2 g cm⁻³.

extended XYZ file:
```
4
Lattice="0.000 3.277 3.277 3.277 0.000 3.277 3.277 3.277 0.000" Properties=species:S:1:pos:R:3 pbc="T T T"
Mn 0.000 0.000 0.000
Rh 3.277 3.277 3.277
Hg 1.639 1.639 1.639
Hg 4.916 4.916 4.916
```



VASP calculation (GGA-PBE) on a relaxed structure of Pr4PSeBr2.

## Properties
The formation energy (no corrections) comes out at -12.01 eV/f.u. For the uncorrected energy, the calculation gives -43.4 eV/f.u. As for the crystal system: monoclinic. The mass density is 6.1 g cm⁻³.

extended XYZ file:
```
8
Lattice="4.242 0.000 0.000 0.000 7.447 0.153 0.000 -2.580 7.160" Properties=species:S:1:pos:R:3 pbc="T T T"
Pr 2.121 1.128 1.506
Pr 2.121 3.738 5.808
Pr 0.000 -0.192 5.711
Pr 0.000 5.059 1.602
P 0.000 0.000 0.000
Se 2.121 3.723 0.077
Br 2.121 -1.290 3.580
Br 0.000 2.433 3.657
```



VASP calculation (GGA-PBE) on a relaxed structure of BaIn2Fe.

## Properties
For the uncorrected energy, the calculation gives -14.8 eV/f.u. As for the crystal system: orthorhombic. The mass density is 5.9 g cm⁻³.

extended XYZ file:
```
4
Lattice="-4.875 -1.903 -1.863 1.826 -5.213 0.587 -0.423 3.781 4.047" Properties=species:S:1:pos:R:3 pbc="T T T"
Ba -1.535 -3.581 -0.642
Fe 0.222 -1.836 2.116
In -0.125 -0.292 -0.052
In -3.558 -1.184 0.712
```



VASP calculation (GGA-PBE) on a relaxed structure of Pr2Dy5HoSc.

## Properties
For the uncorrected energy, the calculation gives -41.0 eV/f.u. As for the crystal system: tetragonal. The mass density is 7.5 g cm⁻³.

extended XYZ file:
```
18
Lattice="8.482 0.000 0.000 0.000 8.482 0.000 -4.241 -4.241 7.985" Properties=species:S:1:pos:R:3 pbc="T T T"
Pr 1.028 3.213 0.000
Pr 5.269 1.028 0.000
Pr 3.213 7.454 0.000
Pr 7.454 5.269 0.000
Dy 6.679 2.438 2.306
Dy 2.438 -1.803 5.680
Dy -2.438 1.803 5.680
Dy -1.803 -2.438 5.680
Dy 1.803 2.438 5.680
Dy 6.043 6.679 2.306
Dy 2.438 1.803 2.306
Dy 1.803 6.043 2.306
Dy 4.241 4.241 0.000
Dy 0.000 0.000 0.000
Ho 0.000 0.000 3.993
Ho 4.241 4.241 3.993
Sc 0.000 4.241 3.993
Sc 4.241 0.000 3.993
```



VASP calculation (GGA-PBE) on a relaxed structure of Y12CoPd6.

## Properties
For the uncorrected energy, the calculation gives -125.1 eV/f.u. As for the crystal system: trigonal. The mass density is 5.6 g cm⁻³.

extended XYZ file:
```
19
Lattice="8.173 0.012 0.014 -1.227 8.080 0.014 -1.227 -1.430 7.953" Properties=species:S:1:pos:R:3 pbc="T T T"
Y 5.439 4.113 3.406
Y 1.761 5.773 4.656
Y 3.241 2.279 6.512
Y 0.279 2.549 4.575
Y 3.957 0.889 3.325
Y 2.477 4.383 1.469
Y -0.944 7.361 2.517
Y -1.701 4.218 7.352
Y 4.427 7.419 0.289
Y 6.663 -0.699 5.464
Y 7.419 2.444 0.629
Y 1.291 -0.757 7.692
Co 0.000 0.000 0.000
Pd 4.100 6.510 3.009
Pd 4.564 2.337 1.038
Pd -0.095 4.602 2.485
Pd 1.618 0.152 4.972
Pd 1.155 4.325 6.943
Pd 5.813 2.060 5.496
```



Look up the mass density of the first one.
6.3 g cm⁻³